(1)
The following is a DFT calculation (PBE) of an optimized crystal structure of Rb4Tl5Te6.

Properties
Crystal system: orthorhombic

Lattice parameters (Å, degrees): 5.630 24.538 18.340 90.00 90.00 90.00
Space group Cmc2_1 (No. 36)
Symmetry-distinct sites (fractional):
Rb (0.000, 0.020, 0.000) (multiplicity 4)
Rb (0.000, 0.035, 0.260) (multiplicity 4)
Rb (0.000, 0.160, 0.809) (multiplicity 4)
Rb (0.000, 0.165, 0.447) (multiplicity 4)
Tl (0.000, 0.165, 0.127) (multiplicity 4)
Tl (0.000, 0.322, 0.122) (multiplicity 4)
Tl (0.000, 0.328, 0.780) (multiplicity 4)
Tl (0.000, 0.336, 0.472) (multiplicity 4)
Tl (0.000, 0.459, 0.163) (multiplicity 4)
Te (0.000, 0.099, 0.629) (multiplicity 4)
Te (0.000, 0.240, 0.984) (multiplicity 4)
Te (0.000, 0.247, 0.267) (multiplicity 4)
Te (0.000, 0.410, 0.628) (multiplicity 4)
Te (0.000, 0.441, 0.895) (multiplicity 4)
Te (0.000, 0.449, 0.350) (multiplicity 4)

(2)
The following is a DFT calculation (PBE) of an optimized crystal structure of RbTl2Te2.

Properties
Crystal system: tetragonal
E above lowest polymorph in meV per atom: 52

Lattice parameters (Å, degrees): 6.030 6.030 10.713 90.00 90.00 90.00
Space group I4/mmm (No. 139)
Symmetry-distinct sites (fractional):
Rb (0.000, 0.000, 0.000) (multiplicity 2)
Tl (0.000, 0.000, 0.353) (multiplicity 4)
Te (0.000, 0.500, 0.250) (multiplicity 4)

These records have ΔE_f (raw) values of -0.5698, -0.4196 eV per atom, in the order they appear.